1.
Zn2IrPt: optimized geometry, PBE.

Calculated values
**Energy relative to the elements**: -0.3571 eV per atom
**SG**: No. 123
**E_tot**: -0.1734 Ha/atom
**Crystal system**: tetragonal

The structure in CIF format:
```
data_Zn2IrPt
_cell_length_a 4.269
_cell_length_b 4.269
_cell_length_c 3.127
_cell_angle_alpha 90.00
_cell_angle_beta 90.00
_cell_angle_gamma 89.97
_space_group_name_H-M_alt 'P 1'
_space_group_IT_number 1
loop_
_space_group_symop_operation_xyz
'x,y,z'
loop_
_atom_site_label
_atom_site_type_symbol
_atom_site_fract_x
_atom_site_fract_y
_atom_site_fract_z
Zn1 Zn 0.000 0.000 0.000
Zn2 Zn 0.500 0.500 0.000
Pt1 Pt 0.000 0.500 0.500
Ir1 Ir 0.500 0.000 0.500
```

***

2.
ZnIrPt6: optimized geometry, PBE.

Calculated values
**Energy relative to the elements**: -0.1165 eV per atom
**SG**: No. 12
**E_tot**: -0.2173 Ha/atom
**Crystal system**: monoclinic

The structure in CIF format:
```
data_ZnIrPt6
_cell_length_a 3.958
_cell_length_b 4.845
_cell_length_c 7.335
_cell_angle_alpha 77.21
_cell_angle_beta 74.35
_cell_angle_gamma 65.89
_space_group_name_H-M_alt 'P 1'
_space_group_IT_number 1
loop_
_space_group_symop_operation_xyz
'x,y,z'
loop_
_atom_site_label
_atom_site_type_symbol
_atom_site_fract_x
_atom_site_fract_y
_atom_site_fract_z
Pt1 Pt 0.753 0.121 0.372
Pt2 Pt 0.502 0.746 0.251
Pt3 Pt 0.247 0.879 0.628
Pt4 Pt 0.250 0.376 0.124
Pt5 Pt 0.750 0.624 0.876
Pt6 Pt 0.498 0.254 0.749
Ir1 Ir 0.000 0.500 0.500
Zn1 Zn 0.000 0.000 0.000
```

***

3.
Zn2IrPt: optimized geometry, PBE.

Calculated values
**Energy relative to the elements**: -0.2562 eV per atom
**SG**: No. 12
**E_tot**: -0.1697 Ha/atom
**Crystal system**: monoclinic

The structure in CIF format:
```
data_Zn2IrPt
_cell_length_a 4.524
_cell_length_b 4.524
_cell_length_c 4.890
_cell_angle_alpha 79.55
_cell_angle_beta 79.55
_cell_angle_gamma 36.56
_space_group_name_H-M_alt 'P 1'
_space_group_IT_number 1
loop_
_space_group_symop_operation_xyz
'x,y,z'
loop_
_atom_site_label
_atom_site_type_symbol
_atom_site_fract_x
_atom_site_fract_y
_atom_site_fract_z
Ir1 Ir 0.750 0.750 0.750
Pt1 Pt 0.250 0.250 0.250
Zn1 Zn 0.002 0.002 0.994
Zn2 Zn 0.498 0.498 0.506
```

***

4.
ZnIrPt2: optimized geometry, PBE.

Calculated values
**Energy relative to the elements**: -0.1330 eV per atom
**SG**: No. 160
**E_tot**: -0.2090 Ha/atom
**Crystal system**: trigonal

The structure in CIF format:
```
data_ZnIrPt2
_cell_length_a 9.075
_cell_length_b 9.075
_cell_length_c 9.075
_cell_angle_alpha 17.63
_cell_angle_beta 17.63
_cell_angle_gamma 17.63
_space_group_name_H-M_alt 'P 1'
_space_group_IT_number 1
loop_
_space_group_symop_operation_xyz
'x,y,z'
loop_
_atom_site_label
_atom_site_type_symbol
_atom_site_fract_x
_atom_site_fract_y
_atom_site_fract_z
Pt1 Pt 0.002 0.002 0.002
Pt2 Pt 0.246 0.246 0.246
Ir1 Ir 0.753 0.753 0.753
Zn1 Zn 0.499 0.499 0.499
```

***

5.
ZnIrPt2: optimized geometry, PBE.

Calculated values
**Energy relative to the elements**: -0.1825 eV per atom
**SG**: No. 123
**E_tot**: -0.2108 Ha/atom
**Crystal system**: tetragonal

The structure in CIF format:
```
data_ZnIrPt2
_cell_length_a 2.769
_cell_length_b 2.769
_cell_length_c 7.777
_cell_angle_alpha 90.00
_cell_angle_beta 90.00
_cell_angle_gamma 90.00
_space_group_name_H-M_alt 'P 1'
_space_group_IT_number 1
loop_
_space_group_symop_operation_xyz
'x,y,z'
loop_
_atom_site_label
_atom_site_type_symbol
_atom_site_fract_x
_atom_site_fract_y
_atom_site_fract_z
Pt1 Pt 0.000 0.000 0.755
Pt2 Pt 0.000 0.000 0.245
Zn1 Zn 0.500 0.500 0.000
Ir1 Ir 0.500 0.500 0.500
```

***

6.
ZnIrPt2: optimized geometry, PBE.

Calculated values
**Energy relative to the elements**: -0.1252 eV per atom
**SG**: No. 119
**E_tot**: -0.2087 Ha/atom
**Crystal system**: tetragonal

The structure in CIF format:
```
data_ZnIrPt2
_cell_length_a 4.736
_cell_length_b 4.736
_cell_length_c 4.736
_cell_angle_alpha 130.58
_cell_angle_beta 130.58
_cell_angle_gamma 72.48
_space_group_name_H-M_alt 'P 1'
_space_group_IT_number 1
loop_
_space_group_symop_operation_xyz
'x,y,z'
loop_
_atom_site_label
_atom_site_type_symbol
_atom_site_fract_x
_atom_site_fract_y
_atom_site_fract_z
Pt1 Pt 0.250 0.750 0.500
Pt2 Pt 0.000 0.000 0.000
Zn1 Zn 0.500 0.500 0.000
Ir1 Ir 0.750 0.250 0.500
```

***

7.
ZnIrPt: optimized geometry, PBE.

Calculated values
**Energy relative to the elements**: -0.1419 eV per atom
**SG**: No. 187
**Energy above the most stable polymorph in this dataset**: 0.0103 eV/atom
**E_tot**: -0.2034 Ha/atom
**Crystal system**: hexagonal

The structure in CIF format:
```
data_ZnIrPt
_cell_length_a 2.783
_cell_length_b 2.783
_cell_length_c 13.174
_cell_angle_alpha 90.00
_cell_angle_beta 90.00
_cell_angle_gamma 120.00
_space_group_name_H-M_alt 'P 1'
_space_group_IT_number 1
loop_
_space_group_symop_operation_xyz
'x,y,z'
loop_
_atom_site_label
_atom_site_type_symbol
_atom_site_fract_x
_atom_site_fract_y
_atom_site_fract_z
Pt1 Pt 0.333 0.667 0.838
Pt2 Pt 0.333 0.667 0.162
Ir1 Ir 0.000 0.000 0.339
Ir2 Ir 0.000 0.000 0.661
Zn1 Zn 0.333 0.667 0.500
Zn2 Zn 0.000 0.000 0.000
```

***

8.
Zn2IrPt: optimized geometry, PBE.

Calculated values
**Energy relative to the elements**: -0.0276 eV per atom
**SG**: No. 35
**E_tot**: -0.1613 Ha/atom
**Crystal system**: orthorhombic

The structure in CIF format:
```
data_Zn2IrPt
_cell_length_a 2.767
_cell_length_b 2.767
_cell_length_c 9.028
_cell_angle_alpha 90.00
_cell_angle_beta 90.00
_cell_angle_gamma 119.88
_space_group_name_H-M_alt 'P 1'
_space_group_IT_number 1
loop_
_space_group_symop_operation_xyz
'x,y,z'
loop_
_atom_site_label
_atom_site_type_symbol
_atom_site_fract_x
_atom_site_fract_y
_atom_site_fract_z
Zn1 Zn 0.500 0.500 0.251
Zn2 Zn 0.000 0.000 0.001
Pt1 Pt 0.500 0.500 0.757
Ir1 Ir 0.000 0.000 0.491
```

***

9.
ZnIrPt2: optimized geometry, PBE.

Calculated values
**Energy relative to the elements**: -0.2463 eV per atom
**SG**: No. 65
**E_tot**: -0.2132 Ha/atom
**Crystal system**: orthorhombic

The structure in CIF format:
```
data_ZnIrPt2
_cell_length_a 4.762
_cell_length_b 4.762
_cell_length_c 2.772
_cell_angle_alpha 90.00
_cell_angle_beta 90.00
_cell_angle_gamma 108.57
_space_group_name_H-M_alt 'P 1'
_space_group_IT_number 1
loop_
_space_group_symop_operation_xyz
'x,y,z'
loop_
_atom_site_label
_atom_site_type_symbol
_atom_site_fract_x
_atom_site_fract_y
_atom_site_fract_z
Ir1 Ir 0.000 0.500 0.500
Zn1 Zn 0.500 0.000 0.500
Pt1 Pt 0.500 0.500 0.000
Pt2 Pt 0.000 0.000 0.000
```

***

10.
ZnIrPt2: optimized geometry, PBE.

Calculated values
**Energy relative to the elements**: 0.0167 eV per atom
**SG**: No. 216
**E_tot**: -0.2035 Ha/atom
**Crystal system**: cubic

The structure in CIF format:
```
data_ZnIrPt2
_cell_length_a 4.410
_cell_length_b 4.410
_cell_length_c 4.408
_cell_angle_alpha 59.99
_cell_angle_beta 59.99
_cell_angle_gamma 60.00
_space_group_name_H-M_alt 'P 1'
_space_group_IT_number 1
loop_
_space_group_symop_operation_xyz
'x,y,z'
loop_
_atom_site_label
_atom_site_type_symbol
_atom_site_fract_x
_atom_site_fract_y
_atom_site_fract_z
Pt1 Pt 0.000 0.000 0.001
Pt2 Pt 0.250 0.250 0.250
Ir1 Ir 0.500 0.500 0.499
Zn1 Zn 0.750 0.750 0.750
```

***

11.
Zn2Ir2Pt: optimized geometry, PBE.

Calculated values
**Energy relative to the elements**: 0.0551 eV per atom
**SG**: No. 127
**Energy above the most stable polymorph in this dataset**: 0.0000 eV/atom
**E_tot**: -0.1914 Ha/atom
**Crystal system**: tetragonal

The structure in CIF format:
```
data_Zn2Ir2Pt
_cell_length_a 7.177
_cell_length_b 7.177
_cell_length_c 2.933
_cell_angle_alpha 90.00
_cell_angle_beta 90.00
_cell_angle_gamma 90.00
_space_group_name_H-M_alt 'P 1'
_space_group_IT_number 1
loop_
_space_group_symop_operation_xyz
'x,y,z'
loop_
_atom_site_label
_atom_site_type_symbol
_atom_site_fract_x
_atom_site_fract_y
_atom_site_fract_z
Zn1 Zn 0.671 0.829 0.500
Zn2 Zn 0.829 0.329 0.500
Zn3 Zn 0.329 0.171 0.500
Zn4 Zn 0.171 0.671 0.500
Pt1 Pt 0.000 0.000 0.000
Pt2 Pt 0.500 0.500 0.000
Ir1 Ir 0.872 0.628 0.000
Ir2 Ir 0.372 0.872 0.000
Ir3 Ir 0.628 0.128 0.000
Ir4 Ir 0.128 0.372 0.000
```

***

12.
Zn4IrPt: optimized geometry, PBE.

Calculated values
**Energy relative to the elements**: -0.0734 eV per atom
**SG**: No. 216
**Energy above the most stable polymorph in this dataset**: 0.1288 eV/atom
**E_tot**: -0.1252 Ha/atom
**Crystal system**: cubic

The structure in CIF format:
```
data_Zn4IrPt
_cell_length_a 4.922
_cell_length_b 4.922
_cell_length_c 4.922
_cell_angle_alpha 60.00
_cell_angle_beta 60.00
_cell_angle_gamma 60.00
_space_group_name_H-M_alt 'P 1'
_space_group_IT_number 1
loop_
_space_group_symop_operation_xyz
'x,y,z'
loop_
_atom_site_label
_atom_site_type_symbol
_atom_site_fract_x
_atom_site_fract_y
_atom_site_fract_z
Pt1 Pt 0.000 0.000 0.000
Zn1 Zn 0.375 0.375 0.375
Zn2 Zn 0.875 0.375 0.375
Zn3 Zn 0.375 0.875 0.375
Zn4 Zn 0.375 0.375 0.875
Ir1 Ir 0.750 0.750 0.750
```

***

13.
Zn2IrPt: optimized geometry, PBE.

Calculated values
**Energy relative to the elements**: -0.1275 eV per atom
**SG**: No. 99
**E_tot**: -0.1650 Ha/atom
**Crystal system**: tetragonal

The structure in CIF format:
```
data_Zn2IrPt
_cell_length_a 3.152
_cell_length_b 3.152
_cell_length_c 5.869
_cell_angle_alpha 90.00
_cell_angle_beta 90.00
_cell_angle_gamma 90.00
_space_group_name_H-M_alt 'P 1'
_space_group_IT_number 1
loop_
_space_group_symop_operation_xyz
'x,y,z'
loop_
_atom_site_label
_atom_site_type_symbol
_atom_site_fract_x
_atom_site_fract_y
_atom_site_fract_z
Zn1 Zn 0.500 0.500 0.251
Zn2 Zn 0.000 0.000 0.003
Ir1 Ir 0.000 0.000 0.472
Pt1 Pt 0.500 0.500 0.773
```

***

14.
ZnIrPt2: optimized geometry, PBE.

Calculated values
**Energy relative to the elements**: -0.1134 eV per atom
**SG**: No. 44
**E_tot**: -0.2083 Ha/atom
**Crystal system**: orthorhombic

The structure in CIF format:
```
data_ZnIrPt2
_cell_length_a 5.412
_cell_length_b 5.412
_cell_length_c 5.412
_cell_angle_alpha 150.66
_cell_angle_beta 128.24
_cell_angle_gamma 60.62
_space_group_name_H-M_alt 'P 1'
_space_group_IT_number 1
loop_
_space_group_symop_operation_xyz
'x,y,z'
loop_
_atom_site_label
_atom_site_type_symbol
_atom_site_fract_x
_atom_site_fract_y
_atom_site_fract_z
Ir1 Ir 0.745 0.245 0.500
Zn1 Zn 0.502 0.502 0.000
Pt1 Pt 0.258 0.758 0.500
Pt2 Pt 0.995 0.995 0.000
```